Model one:
A relaxed structure of Tl2CoSb. Source: Alexandria via LeMat-Bulk, functional PBE-GGA.

```
8
Lattice="-2.100 2.100 10.757 2.100 -2.100 10.757 2.100 2.100 -10.757" Properties=species:S:1:pos:R:3 pbc="T T T"
Tl 3.150 1.000 -2.689
Tl 1.000 1.050 2.689
Tl -1.050 1.100 8.068
Tl 1.100 1.050 13.446
Co 0.000 0.000 0.000
Co 0.000 2.100 5.379
Sb 2.100 0.000 5.379
Sb 0.000 0.000 10.757
```

Calculated values
SG = I-42d
Calculated volume = 94.9 Å³/f.u.
Theoretical density = 10.3 g/cm³
Magnetic moment = 0.00 μB/f.u.

***

Model two:
A relaxed structure of Tl2CoSb. Source: Alexandria via LeMat-Bulk, functional PBE-GGA.

```
4
Lattice="2.415 -6.575 0.000 2.415 6.575 0.000 0.000 0.000 3.339" Properties=species:S:1:pos:R:3 pbc="T T T"
Tl 2.415 4.361 0.000
Tl 2.415 -4.361 0.000
Co 0.000 0.000 1.669
Sb 2.415 0.000 1.669
```

Calculated values
SG = Cmmm
Calculated volume = 106.0 Å³/f.u.
Theoretical density = 9.2 g/cm³
Magnetic moment = 0.91 μB/f.u.

***

Model three:
A relaxed structure of Tl2CoSb. Source: Alexandria via LeMat-Bulk, functional PBE-GGA.

```
4
Lattice="0.000 3.657 3.657 3.657 0.000 3.657 3.657 3.657 0.000" Properties=species:S:1:pos:R:3 pbc="T T T"
Tl 0.000 0.000 0.000
Tl 1.829 1.829 1.829
Co 3.657 3.657 3.657
Sb 5.486 5.486 5.486
```

Calculated values
SG = F-43m
Calculated volume = 97.8 Å³/f.u.
Theoretical density = 10.0 g/cm³
Magnetic moment = 1.89 μB/f.u.

***

Which of them is the most stable, and which is the least stable? model two and model one, in that order.

***

Model one:
A relaxed structure of Tm4CoSb. Source: Alexandria via LeMat-Bulk, functional PBE-GGA.

```
24
Lattice="7.978 0.000 0.000 0.000 3.987 0.000 0.000 0.000 18.709" Properties=species:S:1:pos:R:3 pbc="T T T"
Tm 0.014 0.997 1.243
Tm 0.323 0.997 14.692
Tm 1.136 0.997 6.705
Tm 1.146 0.997 10.274
Tm 2.843 2.991 0.919
Tm 2.853 2.991 16.060
Tm 3.666 2.991 5.337
Tm 3.975 2.991 10.598
Tm 4.003 0.997 8.112
Tm 4.312 0.997 13.373
Tm 5.126 0.997 2.649
Tm 5.135 0.997 17.790
Tm 6.833 2.991 8.436
Tm 6.842 2.991 12.004
Tm 7.655 2.991 4.018
Tm 7.964 2.991 17.467
Co 1.966 0.997 17.762
Co 2.023 2.991 8.408
Co 5.956 0.997 10.302
Co 6.012 2.991 0.947
Sb 1.903 2.991 12.902
Sb 2.086 0.997 3.547
Sb 5.892 2.991 15.163
Sb 6.075 0.997 5.808
```

Calculated values
SG = Pnma
Calculated volume = 148.8 Å³/f.u.
Theoretical density = 9.6 g/cm³
Magnetic moment = 0.36 μB/f.u.

***

Model two:
A relaxed structure of Tm4CoSb. Source: Alexandria via LeMat-Bulk, functional PBE-GGA.

```
12
Lattice="7.529 -3.021 0.000 7.529 3.021 0.000 -2.204 0.000 6.891" Properties=species:S:1:pos:R:3 pbc="T T T"
Tm 5.017 2.341 3.749
Tm 6.734 2.341 6.587
Tm 2.903 0.573 5.866
Tm 4.005 -0.573 2.420
Tm 8.848 0.573 4.471
Tm 9.950 -0.573 1.025
Tm 6.119 -2.341 0.304
Tm 7.836 -2.341 3.142
Co 2.662 1.511 3.445
Co 3.764 -1.511 0.000
Sb 6.978 0.815 1.723
Sb 5.876 -0.815 5.168
```

Calculated values
SG = C2/c
Calculated volume = 156.7 Å³/f.u.
Theoretical density = 9.1 g/cm³
Magnetic moment = 0.00 μB/f.u.

***

Which of them is the most stable, and which is the least stable? model one and model two, in that order.

***

Model one:
A relaxed structure of VCoSb3. Source: Alexandria via LeMat-Bulk, functional PBE-GGA.

```
5
Lattice="4.932 0.000 0.000 0.000 4.932 0.000 0.000 0.000 4.932" Properties=species:S:1:pos:R:3 pbc="T T T"
V 0.000 0.000 0.000
Co 2.466 2.466 2.466
Sb 0.000 2.466 2.466
Sb 2.466 0.000 2.466
Sb 2.466 2.466 0.000
```

Calculated values
SG = Pm-3m
Calculated volume = 120.0 Å³/f.u.
Theoretical density = 6.6 g/cm³
Magnetic moment = 3.68 μB/f.u.

***

Model two:
A relaxed structure of VCoSb3. Source: Alexandria via LeMat-Bulk, functional PBE-GGA.

```
5
Lattice="5.068 0.000 0.000 0.000 5.068 0.000 0.000 0.000 5.068" Properties=species:S:1:pos:R:3 pbc="T T T"
V 0.000 0.000 0.000
Co 2.534 2.534 2.534
Sb 0.000 0.000 2.534
Sb 0.000 2.534 0.000
Sb 2.534 0.000 0.000
```

Calculated values
SG = Pm-3m
Calculated volume = 130.2 Å³/f.u.
Theoretical density = 6.1 g/cm³
Magnetic moment = 1.83 μB/f.u.

***

Which of them is the most stable, and which is the least stable? model one and model two, in that order.

***

Model one:
A relaxed structure of CoSb3W. Source: Alexandria via LeMat-Bulk, functional PBE-GGA.

```
5
Lattice="5.224 0.000 0.000 0.000 5.224 0.000 0.000 0.000 5.224" Properties=species:S:1:pos:R:3 pbc="T T T"
Co 0.000 0.000 0.000
Sb 0.000 2.612 2.612
Sb 2.612 0.000 2.612
Sb 2.612 2.612 0.000
W 2.612 2.612 2.612
```

Calculated values
SG = Pm-3m
Calculated volume = 142.6 Å³/f.u.
Theoretical density = 7.1 g/cm³
Magnetic moment = 1.80 μB/f.u.

***

Model two:
A relaxed structure of CoSb3W. Source: Alexandria via LeMat-Bulk, functional PBE-GGA.

```
5
Lattice="4.868 0.000 0.000 0.000 4.868 0.000 0.000 0.000 4.868" Properties=species:S:1:pos:R:3 pbc="T T T"
Co 0.000 0.000 0.000
Sb 0.000 0.000 2.434
Sb 0.000 2.434 0.000
Sb 2.434 0.000 0.000
W 2.434 2.434 2.434
```

Calculated values
SG = Pm-3m
Calculated volume = 115.4 Å³/f.u.
Theoretical density = 8.8 g/cm³
Magnetic moment = 2.39 μB/f.u.

***

Which of them is the most stable, and which is the least stable? model two and model one, in that order.

***

Model one:
A relaxed structure of CoSbW. Source: Alexandria via LeMat-Bulk, functional PBE-GGA.

```
3
Lattice="4.350 0.000 0.000 -2.175 3.767 0.000 0.000 0.000 2.902" Properties=species:S:1:pos:R:3 pbc="T T T"
Co 0.000 0.000 0.000
Sb 2.175 1.256 0.000
W 0.000 2.511 1.451
```

Calculated values
SG = P-6m2
Calculated volume = 47.6 Å³/f.u.
Theoretical density = 12.7 g/cm³
Magnetic moment = 1.35 μB/f.u.

***

Model two:
A relaxed structure of CoSbW. Source: Alexandria via LeMat-Bulk, functional PBE-GGA.

```
3
Lattice="-1.499 1.499 5.395 1.499 -1.499 5.395 1.499 1.499 -5.395" Properties=species:S:1:pos:R:3 pbc="T T T"
Co 0.000 0.000 0.000
Sb 0.000 0.000 7.221
W 0.000 0.000 3.919
```

Calculated values
SG = I4mm
Calculated volume = 48.5 Å³/f.u.
Theoretical density = 12.5 g/cm³
Magnetic moment = 0.00 μB/f.u.

***

Which of them is the most stable, and which is the least stable? model two and model one, in that order.

***

Model one:
A relaxed structure of CoSbW. Source: Alexandria via LeMat-Bulk, functional PBE-GGA.

```
3
Lattice="0.000 2.962 2.962 2.962 0.000 2.962 2.962 2.962 0.000" Properties=species:S:1:pos:R:3 pbc="T T T"
Co 0.000 0.000 0.000
Sb 1.481 1.481 1.481
W 4.442 4.442 4.442
```

Calculated values
SG = F-43m
Calculated volume = 51.9 Å³/f.u.
Theoretical density = 11.7 g/cm³
Magnetic moment = 1.94 μB/f.u.

***

Model two:
A relaxed structure of CoSbW. Source: Alexandria via LeMat-Bulk, functional PBE-GGA.

```
3
Lattice="0.000 3.068 3.068 3.068 0.000 3.068 3.068 3.068 0.000" Properties=species:S:1:pos:R:3 pbc="T T T"
Co 0.000 0.000 0.000
Sb 3.068 3.068 3.068
W 4.602 4.602 4.602
```

Calculated values
SG = F-43m
Calculated volume = 57.8 Å³/f.u.
Theoretical density = 10.5 g/cm³
Magnetic moment = 0.56 μB/f.u.

***

Which of them is the most stable, and which is the least stable? model one and model two, in that order.